# 1
Here is a geometry-optimized RbTlHg14 structure from Alexandria. Energies are from GGA-PBE.

Values from the calculation:
Energy of formation (meV per atom): -49
M_tot (μB per cell): 0.0
Fermi-level density of states (states/eV/cell): 6.79

Unit cell a=11.9174 b=11.0953 c=11.0954 alpha=83.82 beta=57.52 gamma=57.52
Fractional positions:
Hg (0.8968, 0.8882, 0.3182)
Hg (0.1032, 0.1118, 0.6818)
Hg (0.8649, 0.9368, 0.8302)
Hg (0.8740, 0.1240, 0.1281)
Hg (0.0959, 0.3232, 0.4850)
Hg (0.7214, 0.2732, 0.9412)
Hg (0.3968, 0.8182, 0.3882)
Hg (0.3681, 0.9368, 0.8302)
Hg (0.1260, 0.8760, 0.8719)
Hg (0.2214, 0.4412, 0.7732)
Hg (0.0642, 0.2732, 0.9412)
Hg (0.2786, 0.7268, 0.0588)
Hg (0.1351, 0.0632, 0.1698)
Hg (0.9358, 0.7268, 0.0588)
Hg (0.1319, 0.6698, 0.5632)
Hg (0.3649, 0.3302, 0.4368)
Hg (0.6319, 0.0632, 0.1698)
Hg (0.7786, 0.5588, 0.2268)
Hg (0.5959, 0.9850, 0.8232)
Hg (0.6032, 0.1818, 0.6118)
Hg (0.5642, 0.4412, 0.7732)
Hg (0.6351, 0.6698, 0.5632)
Hg (0.8681, 0.3302, 0.4368)
Hg (0.9041, 0.6768, 0.5150)
Hg (0.3740, 0.6281, 0.6240)
Hg (0.6260, 0.3719, 0.3760)
Hg (0.4041, 0.0150, 0.1768)
Hg (0.4358, 0.5588, 0.2268)
Tl (0.0000, 0.0000, 0.5000)
Tl (0.5000, 0.0000, 0.5000)
Rb (0.7500, 0.6069, 0.8931)
Rb (0.2500, 0.3931, 0.1069)

***

# 2
Here is a geometry-optimized TbSmYCd structure from Alexandria. Energies are from GGA-PBE.

Values from the calculation:
Relative energy among the computed polymorphs (meV per atom): 133
Energy of formation (meV per atom): -23
M_tot (μB per cell): 0.0
Fermi-level density of states (states/eV/cell): 5.60

Unit cell a=5.4897 b=5.4897 c=5.4897 alpha=60.00 beta=60.00 gamma=60.00
Fractional positions:
Tb (0.5000, 0.5000, 0.5000)
Cd (0.0000, 0.0000, 0.0000)
Sm (0.2500, 0.2500, 0.2500)
Y (0.7500, 0.7500, 0.7500)

***

# 3
Here is a geometry-optimized Hf2CCl2 structure from Alexandria. Energies are from GGA-PBE.

Values from the calculation:
Energy relative to the elements, uncorrected (eV/atom): 0.473
M_tot (μB per cell): 0.0
Fermi-level density of states (states/eV/cell): 1.83

Unit cell a=3.7808 b=3.7808 c=6.8486 alpha=73.98 beta=73.98 gamma=90.00
Fractional positions:
Cl (0.7500, 0.2500, 0.5000)
Cl (0.2500, 0.7500, 0.5000)
C (0.0000, 0.0000, 0.0000)
Hf (0.6072, 0.6072, 0.7857)
Hf (0.3928, 0.3928, 0.2143)